No. 1
AcHfAsO5: optimized geometry, GGA-PBE.

Output
Formation energy (no corrections), meV per atom: -2707.2
Final energy, eV/atom: -8.145

abc: 6.0593 6.0593 8.3398
angles: 109.25 109.25 100.79
With the nearest neighbours (Å) after each atom.
Sites, in units of the cell vectors:
1 Ac 0.3111 0.6889 0.2500  7 O 2.47-2.69
2 Ac 0.6889 0.3111 0.7500  7 O 2.47-2.69
3 Hf 0.0000 0.0000 0.5000  6 O 2.10-2.12
4 Hf 0.0000 0.0000 0.0000  6 O 2.10-2.12
5 As 0.6987 0.3013 0.2500  2 O 1.81
6 As 0.3013 0.6987 0.7500  2 O 1.81
7 O 0.0345 0.9655 0.2500  2 Hf 2.11
8 O 0.9655 0.0345 0.7500  2 Hf 2.11
9 O 0.8924 0.3165 0.0622  1 Hf 2.10, 1 As 2.26
10 O 0.1076 0.6835 0.9378  1 Hf 2.10, 1 As 2.26
11 O 0.6835 0.1076 0.4378  1 Hf 2.10, 1 As 2.26
12 O 0.3165 0.8924 0.5622  1 Hf 2.10, 1 As 2.26
13 O 0.7571 0.6300 0.3725  1 As 1.81
14 O 0.2429 0.3700 0.6275  1 As 1.81
15 O 0.3700 0.2429 0.1275  1 As 1.81
16 O 0.6300 0.7571 0.8725  1 As 1.81

No. 2
AcHfAs2O8: optimized geometry, GGA-PBE.

Output
Formation energy (no corrections), meV per atom: -2145.3
Final energy, eV/atom: -7.397

abc: 6.0861 6.0861 6.0861
angles: 106.60 106.60 115.38
With the nearest neighbours (Å) after each atom.
Sites, in units of the cell vectors:
1 Ac 0.0000 0.0000 0.0000  8 O 2.45-2.61
2 Hf 0.2500 0.7500 0.5000  8 O 2.18-2.39
3 As 0.7500 0.2500 0.5000  4 O 1.72
4 As 0.5000 0.5000 0.0000  4 O 1.89
5 O 0.3970 0.0657 0.3313  1 As 1.72
6 O 0.3267 0.5350 0.2083  1 As 1.89
7 O 0.3267 0.1184 0.7917  1 As 1.89
8 O 0.7344 0.0657 0.6687  1 As 1.72
9 O 0.8816 0.6733 0.2083  1 As 1.89
10 O 0.9343 0.2656 0.3313  1 As 1.72
11 O 0.9343 0.6030 0.6687  1 As 1.72
12 O 0.4650 0.6733 0.7917  1 As 1.89